1.
Below is a relaxed structure of HfGaAg, with properties calculated at the PBE level.

The total energy comes out at -5.188 eV per atom. The formation energy is 89 meV/atom.

```
6
Lattice="4.915 0.000 0.000 2.458 4.257 0.000 2.458 1.419 5.580" Properties=species:S:1:pos:R:3 pbc="T T T"
Hf 2.458 1.419 1.583
Ga 7.373 4.257 1.275
Ag 4.915 2.838 1.388
Hf 7.373 4.257 3.998
Ag 4.915 2.838 4.192
Ga 2.458 1.419 4.306
```

=====

2.
Below is a relaxed structure of LaSm2NpAs4, with properties calculated at the PBE level.

The total energy comes out at -7.045 eV per atom. The formation energy is -1307 meV/atom.

```
8
Lattice="4.222 0.000 0.000 0.000 7.328 0.137 0.000 -2.553 6.862" Properties=species:S:1:pos:R:3 pbc="T T T"
As 2.111 3.639 5.274
Np 0.000 0.000 0.000
La 2.111 3.664 0.069
As 2.111 1.137 1.726
Sm 2.111 -1.276 3.431
As 0.000 4.924 1.827
As 0.000 -0.149 5.173
Sm 0.000 2.388 3.500
```

=====

3.
Below is a relaxed structure of Cu2HgPb2, with properties calculated at the PBE level.

Its distance to the lowest polymorph of the same formula is 180 meV/atom. The total energy comes out at -2.840 eV per atom. The formation energy is 342 meV/atom.

```
5
Lattice="4.893 0.000 0.000 0.000 4.893 0.000 2.446 2.446 5.121" Properties=species:S:1:pos:R:3 pbc="T T T"
Cu 2.446 2.446 1.189
Hg 0.000 0.000 0.000
Cu 4.893 4.893 3.932
Pb 4.893 2.446 2.560
Pb 2.446 4.893 2.560
```

=====

4.
Below is a relaxed structure of Pm3ThPt4, with properties calculated at the PBE level.

The total energy comes out at -6.863 eV per atom. The formation energy is -1134 meV/atom.

```
16
Lattice="-1.045 5.738 -4.273 -6.020 -4.038 0.151 -2.770 4.374 6.552" Properties=species:S:1:pos:R:3 pbc="T T T"
Pt -8.024 6.522 1.596
Pm -4.315 1.064 1.476
Pm -1.989 4.162 3.018
Pt -5.409 0.348 -1.218
Pt -5.560 -1.394 2.527
Pt -4.426 5.726 3.648
Pm -4.142 2.834 -2.306
Pt -1.811 -0.448 0.835
Pm -5.520 5.010 0.954
Pt -3.036 3.469 0.347
Th -0.608 1.983 -0.247
Pt -4.275 7.468 -0.096
Pt -6.798 2.605 2.084
Pm -1.827 5.950 -0.738
Th -3.207 8.129 2.527
Pm -5.693 3.240 4.736
```

=====

5.
Below is a relaxed structure of TlTe2Os, with properties calculated at the PBE level.

Its distance to the lowest polymorph of the same formula is 689 meV/atom. The total energy comes out at -4.171 eV per atom. The value obtained for the formation energy from raw total energies is 0.7993 eV per atom.

```
4
Lattice="1.899 -0.925 4.591 -1.186 3.014 3.879 -3.013 -1.693 3.687" Properties=species:S:1:pos:R:3 pbc="T T T"
Tl -1.150 0.198 6.078
Te -0.575 0.099 3.039
Os 0.000 0.000 0.000
Te -1.725 0.297 9.117
```

=====

6.
Below is a relaxed structure of Be4SiPb, with properties calculated at the PBE level.

The total energy comes out at -3.376 eV per atom. The value obtained for the formation energy from raw total energies is 0.6305 eV per atom.

```
6
Lattice="0.908 -0.888 4.659 -1.365 3.174 3.374 -3.625 -1.078 3.004" Properties=species:S:1:pos:R:3 pbc="T T T"
Be -1.518 0.449 4.105
Si 0.000 0.000 0.000
Be -3.375 -0.103 5.644
Be -2.217 2.076 5.833
Be -1.053 -0.006 6.492
Pb -3.061 0.906 8.278
```

=====

7.
Below is a relaxed structure of LuMg2Sn, with properties calculated at the PBE level.

The total energy comes out at -3.290 eV per atom. The formation energy is -361 meV/atom.

```
4
Lattice="4.705 0.000 0.000 0.000 4.449 0.000 0.000 0.000 4.449" Properties=species:S:1:pos:R:3 pbc="T T T"
Mg 0.000 2.224 0.000
Sn 2.353 0.000 0.000
Mg 0.000 0.000 2.224
Lu 2.353 2.224 2.224
```

=====

8.
Below is a relaxed structure of SiNi8P2, with properties calculated at the PBE level.

The total energy comes out at -6.100 eV per atom. The value obtained for the formation energy from raw total energies is -0.4184 eV per atom.

```
11
Lattice="3.420 0.000 -1.041 -0.939 5.435 -3.087 0.104 0.024 6.482" Properties=species:S:1:pos:R:3 pbc="T T T"
Ni 0.690 3.028 2.268
P 0.018 3.711 0.058
Ni 0.373 0.760 1.225
Ni 1.480 4.827 -1.275
P 2.567 1.748 2.296
Ni 2.212 4.699 1.129
Ni 1.895 2.431 0.086
Ni -0.288 1.665 -0.946
Si 1.710 0.000 -0.520
Ni 1.105 0.632 3.629
Ni 2.873 3.794 3.300
```

=====

9.
Below is a relaxed structure of Pr2IN, with properties calculated at the PBE level.

The total energy comes out at -5.339 eV per atom. The value obtained for the formation energy from raw total energies is -0.4807 eV per atom.

```
4
Lattice="-3.431 -0.291 -0.282 -0.145 -1.359 3.173 -0.835 6.987 2.954" Properties=species:S:1:pos:R:3 pbc="T T T"
I -2.206 2.668 2.923
Pr -0.671 5.609 2.372
N -1.788 -0.825 1.446
Pr -0.165 1.378 0.583
```

=====

10.
Below is a relaxed structure of TlB3Ru, with properties calculated at the PBE level.

Its distance to the lowest polymorph of the same formula is 0 meV/atom. The total energy comes out at -5.405 eV per atom. The formation energy is 930 meV/atom.

```
5
Lattice="-4.078 -0.865 0.612 1.017 -2.513 3.226 -0.297 3.270 2.641" Properties=species:S:1:pos:R:3 pbc="T T T"
B 0.508 -1.257 1.613
B -0.148 1.635 1.321
Tl -1.679 -0.054 3.239
B -2.039 -0.432 0.306
Ru 0.000 0.000 0.000
```

=====

11.
Below is a relaxed structure of RbBa2SrZn, with properties calculated at the PBE level.

The total energy comes out at -1.539 eV per atom. The formation energy is 14 meV/atom.

```
5
Lattice="-1.544 -2.014 -6.174 2.514 -6.037 1.341 -5.866 -1.974 2.111" Properties=species:S:1:pos:R:3 pbc="T T T"
Sr -2.933 -0.987 1.056
Rb -2.448 -5.013 -1.361
Ba 1.257 -3.018 0.670
Ba -0.772 -1.007 -3.087
Zn 0.000 0.000 0.000
```

=====

12.
Below is a relaxed structure of RbTe2Pb2, with properties calculated at the PBE level.

Its distance to the lowest polymorph of the same formula is 127 meV/atom. The total energy comes out at -3.287 eV per atom. The value obtained for the formation energy from raw total energies is -0.3539 eV per atom.

```
10
Lattice="9.278 0.000 0.000 0.000 9.278 0.000 0.000 0.000 4.286" Properties=species:S:1:pos:R:3 pbc="T T T"
Pb 3.448 1.191 2.143
Pb 8.087 3.448 2.143
Rb 4.639 4.639 0.000
Te 6.063 1.424 0.000
Rb 0.000 0.000 0.000
Pb 1.191 5.830 2.143
Pb 5.830 8.087 2.143
Te 1.424 3.215 0.000
Te 3.215 7.854 0.000
Te 7.854 6.063 0.000
```